1.
## Mg2ZnAu4 (PBE-GGA)

Data for crystalline Mg2ZnAu4 at its relaxed geometry.

a = 7.6551 Å, b = 4.7137 Å, c = 7.4975 Å
α = 90.00°, β = 101.67°, γ = 90.00°
Last column: nearest neighbours and their distance in Å.
Space group C2/m (No. 12)
Symmetry-distinct sites (fractional):
Mg: 0.2352 0.0000 0.2669  8 Au 2.73-2.86
Zn: 0.0000 0.5000 0.0000  8 Au 2.70-2.80
Au: 0.1042 0.5000 0.3668  1 Zn 2.70, 4 Mg 2.73-2.77, 2 Au 2.80-2.97
Au: 0.1357 0.0000 0.8783  3 Zn 2.75-2.80, 4 Mg 2.83-2.86, 2 Au 2.97-3.03

Energy relative to the elements, eV per formula unit: -2.57
Relative energy among the computed polymorphs, eV per atom: 0.0000
Spin magnetization, Bohr magnetons per cell: 0.0
Calculated volume, Å³ per cell: 265.0

2.
## MgZn2Au6 (PBE-GGA)

Data for crystalline MgZn2Au6 at its relaxed geometry.

a = 7.9456 Å, b = 4.5955 Å, c = 8.5006 Å
α = 90.00°, β = 90.13°, γ = 90.00°
Last column: nearest neighbours and their distance in Å.
Space group C2/m (No. 12)
Symmetry-distinct sites (fractional):
Mg: 0.0000 0.0000 0.0000  8 Au 2.70-2.79
Zn: 0.1665 0.5000 0.7740  8 Au 2.76-2.85
Au: 0.0001 0.0000 0.3178  1 Mg 2.70, 3 Zn 2.76, 3 Au 2.87-2.88
Au: 0.1668 0.5000 0.1039  3 Mg 2.79, 4 Zn 2.80-2.85, 1 Au 2.93
Au: 0.1667 0.5000 0.4487  1 Zn 2.77, 7 Au 2.79-2.93

Energy relative to the elements, eV per formula unit: -2.03
Relative energy among the computed polymorphs, eV per atom: 0.0000
Spin magnetization, Bohr magnetons per cell: 0.0
Calculated volume, Å³ per cell: 310.4

3.
## MgZn5Au6 (PBE-GGA)

Data for crystalline MgZn5Au6 at its relaxed geometry.

a = 7.7714 Å, b = 13.7153 Å, c = 4.5994 Å
α = 90.00°, β = 126.23°, γ = 90.00°
Last column: nearest neighbours and their distance in Å.
Space group C2/m (No. 12)
Symmetry-distinct sites (fractional):
Mg: 0.0000 0.0000 0.0000  8 Au 2.81-2.83, 2 Zn 3.13
Zn: 0.0000 0.1607 0.5000  8 Au 2.73-2.80
Zn: 0.0000 0.3336 0.0000  8 Au 2.74-2.77
Zn: 0.0000 0.5000 0.5000  8 Au 2.76-2.80
Au: 0.2434 0.5000 0.2440  6 Zn 2.73-2.76, 2 Mg 2.81, 1 Au 3.05
Au: 0.2466 0.3294 0.7470  7 Zn 2.74-2.80, 1 Mg 2.83

Energy relative to the elements, eV per formula unit: -3.38
Spin magnetization, Bohr magnetons per cell: 0.0
Calculated volume, Å³ per cell: 395.5

4.
## MgZn11Au (PBE-GGA)

Data for crystalline MgZn11Au at its relaxed geometry.

a = 5.3429 Å, b = 12.9502 Å, c = 6.5691 Å
α = 90.00°, β = 112.13°, γ = 90.00°
Last column: nearest neighbours and their distance in Å.
Space group C2/m (No. 12)
Symmetry-distinct sites (fractional):
Mg: 0.0000 0.0000 0.0000  18 Zn 3.13-3.50, 2 Au 3.28
Zn: 0.0000 0.5000 0.5000  8 Zn 2.58-2.81, 2 Au 2.67
Zn: 0.0990 0.3887 0.2135  8 Zn 2.58-2.88, 1 Au 2.68
Zn: 0.1740 0.1762 0.3525  7 Zn 2.62-2.88, 1 Au 2.77
Zn: 0.2500 0.2500 0.0000  10 Zn 2.59-2.73
Au: 0.0000 0.0000 0.5000  10 Zn 2.67-2.77

Energy relative to the elements, eV per formula unit: -0.41
Spin magnetization, Bohr magnetons per cell: 0.0
Calculated volume, Å³ per cell: 421.0

5.
## MgZnAu (PBE-GGA)

Data for crystalline MgZnAu at its relaxed geometry.

a = 3.4485 Å, b = 3.4485 Å, c = 8.6436 Å
α = 90.00°, β = 90.00°, γ = 90.00°
Last column: nearest neighbours and their distance in Å.
Space group I4mm (No. 107)
Symmetry-distinct sites (fractional):
Mg: 0.0000 0.0000 0.0000  5 Au 2.83-2.89, 5 Zn 2.84-2.85
Zn: 0.0000 0.0000 0.3291  5 Au 2.82-2.91, 5 Mg 2.84-2.85
Au: 0.0000 0.0000 0.6655  5 Zn 2.82-2.91, 5 Mg 2.83-2.89

Energy relative to the elements, eV per formula unit: -1.13
Spin magnetization, Bohr magnetons per cell: 0.0
Calculated volume, Å³ per cell: 102.8

6.
## MgZnAu5 (PBE-GGA)

Data for crystalline MgZnAu5 at its relaxed geometry.

a = 4.2150 Å, b = 4.2150 Å, c = 7.2226 Å
α = 90.00°, β = 90.00°, γ = 90.00°
Last column: nearest neighbours and their distance in Å.
Space group P4/mmm (No. 123)
Symmetry-distinct sites (fractional):
Mg: 0.0000 0.0000 0.0000  12 Au 2.92-2.98
Zn: 0.5000 0.5000 0.5000  8 Au 2.64
Au: 0.0000 0.5000 0.2799  2 Zn 2.64, 2 Mg 2.92, 2 Au 2.92
Au: 0.5000 0.5000 0.0000  8 Au 2.92, 4 Mg 2.98

Energy relative to the elements, eV per formula unit: -1.90
Relative energy among the computed polymorphs, eV per atom: 0.0000
Spin magnetization, Bohr magnetons per cell: 0.0
Calculated volume, Å³ per cell: 128.3

7.
## Mg3Zn4Au4 (PBE-GGA)

Data for crystalline Mg3Zn4Au4 at its relaxed geometry.

a = 3.6375 Å, b = 8.2795 Å, c = 13.6691 Å
α = 90.00°, β = 90.00°, γ = 90.00°
Last column: nearest neighbours and their distance in Å.
Space group Immm (No. 71)
Symmetry-distinct sites (fractional):
Mg: 0.0000 0.0000 0.0000  6 Au 3.07-3.12
Mg: 0.0000 0.5000 0.1167  6 Au 2.83-2.90, 4 Zn 3.11
Zn: 0.0000 0.2876 0.3218  4 Au 2.56-2.73, 2 Zn 2.75
Au: 0.0000 0.0000 0.2244  6 Zn 2.61-2.73, 2 Mg 2.83
Au: 0.0000 0.1940 0.5000  2 Zn 2.56

Energy relative to the elements, eV per formula unit: -3.53
Spin magnetization, Bohr magnetons per cell: 0.0
Calculated volume, Å³ per cell: 411.7

8.
## Mg5ZnAu4 (PBE-GGA)

Data for crystalline Mg5ZnAu4 at its relaxed geometry.

a = 3.3390 Å, b = 3.3390 Å, c = 16.2241 Å
α = 90.00°, β = 90.00°, γ = 90.00°
Last column: nearest neighbours and their distance in Å.
Space group P4/mmm (No. 123)
Symmetry-distinct sites (fractional):
Mg: 0.0000 0.0000 0.0000  8 Au 2.86
Mg: 0.0000 0.0000 0.1979  8 Au 2.85-2.88, 1 Mg 3.19
Mg: 0.0000 0.0000 0.3944  4 Au 2.82, 4 Zn 2.92
Zn: 0.5000 0.5000 0.5000  8 Mg 2.92, 2 Au 3.25
Au: 0.5000 0.5000 0.0996  8 Mg 2.85-2.86
Au: 0.5000 0.5000 0.2996  8 Mg 2.82-2.88

Energy relative to the elements, eV per formula unit: -5.07
Spin magnetization, Bohr magnetons per cell: 0.0
Calculated volume, Å³ per cell: 180.9

9.
## MgZn2Au8 (PBE-GGA)

Data for crystalline MgZn2Au8 at its relaxed geometry.

a = 14.5446 Å, b = 4.2025 Å, c = 6.6576 Å
α = 90.00°, β = 110.12°, γ = 90.00°
Last column: nearest neighbours and their distance in Å.
Space group C2/m (No. 12)
Symmetry-distinct sites (fractional):
Mg: 0.0000 0.0000 0.0000  12 Au 2.80-2.98
Zn: 0.2191 0.5000 0.6503  10 Au 2.70-2.98
Au: 0.0421 0.5000 0.7311  1 Zn 2.81, 9 Au 2.87-3.10, 2 Mg 2.96
Au: 0.1028 0.0000 0.4578  3 Zn 2.73-2.92, 5 Au 2.89-2.93, 1 Mg 2.90
Au: 0.1472 0.5000 0.2074  3 Zn 2.77-2.80, 7 Au 2.89-3.01, 2 Mg 2.98
Au: 0.1783 0.0000 0.9255  3 Zn 2.70-2.98, 1 Mg 2.80, 8 Au 2.87-2.96

Energy relative to the elements, eV per formula unit: -2.63
Spin magnetization, Bohr magnetons per cell: 0.0
Calculated volume, Å³ per cell: 382.1

10.
## MgZn4Au2 (PBE-GGA)

Data for crystalline MgZn4Au2 at its relaxed geometry.

a = 7.7564 Å, b = 7.7564 Å, c = 4.0952 Å
α = 90.00°, β = 90.00°, γ = 90.00°
Last column: nearest neighbours and their distance in Å.
Space group P4_2/mnm (No. 136)
Symmetry-distinct sites (fractional):
Mg: 0.0000 0.0000 0.0000  4 Au 2.79
Zn: 0.1098 0.3648 0.5000  3 Au 2.65-2.67, 6 Zn 2.70-2.80
Au: 0.1731 0.8269 0.5000  6 Zn 2.65-2.67, 2 Mg 2.79

Energy relative to the elements, eV per formula unit: -1.66
Relative energy among the computed polymorphs, eV per atom: 0.0000
Spin magnetization, Bohr magnetons per cell: 0.0
Calculated volume, Å³ per cell: 246.4

11.
## Mg2Zn3Au4 (PBE-GGA)

Data for crystalline Mg2Zn3Au4 at its relaxed geometry.

a = 5.4182 Å, b = 14.1457 Å, c = 8.5133 Å
α = 90.00°, β = 90.00°, γ = 90.00°
Last column: nearest neighbours and their distance in Å.
Space group Cmce (No. 64)
Symmetry-distinct sites (fractional):
Mg: 0.0000 0.1072 0.0596  7 Au 2.95-3.10, 4 Zn 3.05-3.15, 1 Mg 3.20
Zn: 0.0000 0.0000 0.5000  6 Au 2.59-2.67
Zn: 0.2500 0.2377 0.7500  5 Au 2.64-2.76, 2 Zn 2.71
Au: 0.0000 0.1888 0.4866  5 Zn 2.64-2.71, 1 Mg 2.95
Au: 0.2500 0.0425 0.7500  3 Zn 2.59-2.76, 2 Au 2.71

Energy relative to the elements, eV per formula unit: -2.98
Relative energy among the computed polymorphs, eV per atom: 0.0239
Spin magnetization, Bohr magnetons per cell: 0.0
Calculated volume, Å³ per cell: 652.5

12.
## MgZnAu4 (PBE-GGA)

Data for crystalline MgZnAu4 at its relaxed geometry.

a = 7.7877 Å, b = 7.7877 Å, c = 7.7877 Å
α = 90.00°, β = 90.00°, γ = 90.00°
Last column: nearest neighbours and their distance in Å.
Space group F-43m (No. 216)
Symmetry-distinct sites (fractional):
Mg: 0.0000 0.0000 0.0000  12 Au 3.23, 4 Zn 3.37
Zn: 0.2500 0.2500 0.7500  12 Au 3.23, 4 Mg 3.37
Au: 0.1250 0.1250 0.3750  6 Au 2.75

Energy relative to the elements, eV per formula unit: -0.66
Relative energy among the computed polymorphs, eV per atom: 0.1211
Spin magnetization, Bohr magnetons per cell: 0.0
Calculated volume, Å³ per cell: 472.3